MnZnTcOs (PBE-GGA, optimized geometry); final energy = -0.28693 hartree per atom; calculated formation energy = 202.1 meV per atom; N(E_F) = 2.29 states/eV per cell
1.0
-0.1621 -2.8852 3.2082
2.5365 -3.4926 -0.1072
3.3057 -0.3528 2.7553
Zn Mn Os Tc
1 1 1 1
direct
0.7500 0.7500 0.7500 Zn
0.0000 0.0000 0.0000 Mn
0.2500 0.2500 0.2500 Os
0.5000 0.5000 0.5000 Tc